Entry 1:
The following is a DFT calculation (PBE-GGA) of crystalline Na2Li3IrF12 at its relaxed geometry.

Its raw total energy is -4.2161 eV per atom. The density of states at the Fermi level comes out at 32.33 states/eV per cell. The calculation puts the total magnetization at 12.0 μB per cell.

The structure belongs to space group R-3m (No. 166, hexagonal axes); the cell edges are 6.5745, 6.5745 and 21.9093 Å and the angles 90.00°, 90.00° and 120.00°. Symmetry generates all atoms from Na at (0.0000, 0.0000, 0.0678), Li at (0.0000, 0.5000, 0.0000), Ir at (0.0000, 0.0000, 0.5000), F at (0.0398, 0.5199, 0.3659) and F at (0.0613, 0.5306, 0.1169).



Entry 2:
The following is a DFT calculation (PBE-GGA) of crystalline LiIrO2F at its relaxed geometry.

Its raw total energy is -5.6083 eV per atom. The density of states at the Fermi level comes out at 3.03 states/eV per cell. The calculation puts the total magnetization at 0.0 μB per cell.

The structure belongs to space group P4/mmm (No. 123); the cell edges are 3.669, 3.669 and 6.206 Å and the angles 90.00°, 90.00° and 90.00°. Symmetry generates all atoms from Li at (0.000, 0.000, 0.000), Ir at (0.500, 0.500, 0.500), O at (0.000, 0.500, 0.500) and F at (0.500, 0.500, 0.000).



Entry 3:
The following is a DFT calculation (PBE-GGA) of crystalline Li2IrOF at its relaxed geometry.

Its raw total energy is -4.1753 eV per atom. The energy above the most stable polymorph in this dataset comes out at 0.00 eV per formula unit. The density of states at the Fermi level comes out at 4.38 states/eV per cell. The calculation puts the total magnetization at 2.1 μB per cell.

The structure belongs to space group P4/mmm (No. 123); the cell edges are 3.448, 3.448 and 5.828 Å and the angles 90.00°, 90.00° and 90.00°. Symmetry generates all atoms from Li at (0.000, 0.500, 0.000), Ir at (0.000, 0.000, 0.500), O at (0.500, 0.500, 0.000) and F at (0.500, 0.500, 0.500).



Entry 4:
The following is a DFT calculation (PBE-GGA) of crystalline Li2IrOF at its relaxed geometry.

Its raw total energy is -3.8171 eV per atom. The energy above the most stable polymorph in this dataset comes out at 1.79 eV per formula unit. The density of states at the Fermi level comes out at 5.65 states/eV per cell. The calculation puts the total magnetization at 1.9 μB per cell.

The structure belongs to space group P4/mmm (No. 123); the cell edges are 4.903, 4.903 and 3.849 Å and the angles 90.00°, 90.00° and 90.00°. Symmetry generates all atoms from Li at (0.000, 0.500, 0.000), Ir at (0.000, 0.000, 0.000), O at (0.500, 0.500, 0.500) and F at (0.000, 0.000, 0.500).



Entry 5:
The following is a DFT calculation (PBE-GGA) of crystalline LiIrO2F at its relaxed geometry.

Its raw total energy is -4.5653 eV per atom. The density of states at the Fermi level comes out at 3.90 states/eV per cell. The calculation puts the total magnetization at 2.0 μB per cell.

The structure belongs to space group P4/mmm (No. 123); the cell edges are 3.730, 3.730 and 3.271 Å and the angles 90.00°, 90.00° and 90.00°. Symmetry generates all atoms from Li at (0.000, 0.000, 0.000), Ir at (0.500, 0.500, 0.500), O at (0.000, 0.500, 0.000) and F at (0.000, 0.000, 0.500).



Entry 6:
The following is a DFT calculation (PBE-GGA) of crystalline LiIrOF2 at its relaxed geometry.

Its raw total energy is -5.0484 eV per atom. The energy above the most stable polymorph in this dataset comes out at 0.00 eV per formula unit. The density of states at the Fermi level comes out at 2.09 states/eV per cell. The calculation puts the total magnetization at 0.0 μB per cell.

The structure belongs to space group P4/mmm (No. 123); the cell edges are 4.416, 4.416 and 3.738 Å and the angles 90.00°, 90.00° and 90.00°. Symmetry generates all atoms from Li at (0.000, 0.000, 0.000), Ir at (0.500, 0.500, 0.500), O at (0.500, 0.500, 0.000) and F at (0.000, 0.500, 0.500).